Record 1
Density functional theory data (PBE-GGA) for an optimized crystal structure of Cu3AuSe.

Cell and atoms, written as extended XYZ:
```
5
Lattice="4.557 0.000 0.000 0.000 4.557 0.000 0.000 0.000 4.557" Properties=species:S:1:pos:R:3 pbc="T T T"
Cu 0.000 0.000 2.279
Cu 0.000 2.279 0.000
Cu 2.279 0.000 0.000
Au 2.279 2.279 2.279
Se 0.000 0.000 0.000
```

Properties
- D(E_F): 1.41 states/eV/cell
- Symmetry: Pm-3m
- Energy: -3.393 eV/atom

Record 2
Density functional theory data (PBE-GGA) for an optimized crystal structure of CuAu4Se.

Cell and atoms, written as extended XYZ:
```
6
Lattice="0.000 3.897 3.897 3.897 0.000 3.897 3.897 3.897 0.000" Properties=species:S:1:pos:R:3 pbc="T T T"
Cu 0.000 0.000 0.000
Au 4.875 2.919 2.919
Au 2.919 4.875 2.919
Au 2.919 2.919 4.875
Au 4.875 4.875 4.875
Se 1.949 1.949 1.949
```

Properties
- D(E_F): 4.40 states/eV/cell
- Symmetry: F-43m
- Energy: -3.106 eV/atom

Record 3
Density functional theory data (PBE-GGA) for an optimized crystal structure of CuAuSe2.

Cell and atoms, written as extended XYZ:
```
4
Lattice="1.693 -2.236 0.000 1.693 2.236 0.000 0.000 0.000 10.404" Properties=species:S:1:pos:R:3 pbc="T T T"
Cu 0.000 0.000 0.000
Au 0.000 0.000 5.202
Se 1.693 0.000 1.995
Se 1.693 0.000 8.409
```

Properties
- D(E_F): 2.14 states/eV/cell
- Symmetry: Cmmm
- Energy: -3.288 eV/atom